Entry 1:
Compound: YZn2CoC
Source: the Alexandria database
Functional: PBE
Structure: optimized geometry

a b c (Å): 4.011 4.910 4.011
angles (deg): 90.00 90.00 90.00
Last column: magnetic moment on the atom in μB.
Fractional positions:
Co (0.500, 0.500, 0.500)  0.82
Y (0.000, 0.500, 0.000)  -0.10
C (0.000, 0.000, 0.000)  0.00
Zn (0.500, 0.000, 0.000)  -0.02
Zn (0.000, 0.000, 0.500)  -0.02

Properties
The formation energy is 0.39 eV per atom. As for the crystal system: tetragonal.


Entry 2:
Compound: Sc2TlFe
Source: the Alexandria database
Functional: PBE
Structure: optimized geometry

a b c (Å): 8.867 8.867 8.867
angles (deg): 21.53 21.53 21.53
Last column: magnetic moment on the atom in μB.
Fractional positions:
Tl (0.250, 0.250, 0.250)  0.01
Sc (0.485, 0.485, 0.485)  -0.22
Sc (0.015, 0.015, 0.015)  -0.22
Fe (0.750, 0.750, 0.750)  1.34

Properties
The formation energy is -0.03 eV per atom. As for the crystal system: trigonal.


Entry 3:
Compound: Np2As4IrRh3
Source: the Alexandria database
Functional: PBE
Structure: optimized geometry

a b c (Å): 4.208 4.208 10.189
angles (deg): 90.00 90.00 90.00
Last column: magnetic moment on the atom in μB.
Fractional positions:
As (0.500, 0.500, 0.000)  -0.02
As (0.000, 0.500, 0.361)  -0.02
As (0.000, 0.000, 0.000)  -0.02
As (0.500, 0.000, 0.639)  -0.02
Ir (0.500, 0.500, 0.500)  -0.01
Np (0.000, 0.500, 0.751)  3.73
Np (0.500, 0.000, 0.249)  3.73
Rh (0.000, 0.500, 0.126)  -0.10
Rh (0.000, 0.000, 0.500)  0.04
Rh (0.500, 0.000, 0.874)  -0.10

Properties
The formation energy is -0.51 eV per atom. As for the crystal system: tetragonal.


Entry 4:
Compound: Mg13Au2
Source: the Alexandria database
Functional: PBE
Structure: optimized geometry

a b c (Å): 6.097 7.371 8.035
angles (deg): 113.15 87.82 98.21
Fractional positions:
Mg (0.046, 0.493, 0.688)
Mg (0.742, 0.179, 0.806)
Mg (0.789, 0.986, 0.392)
Mg (0.954, 0.507, 0.312)
Mg (0.443, 0.816, 0.833)
Mg (0.211, 0.014, 0.608)
Mg (0.268, 0.379, 0.973)
Mg (0.557, 0.184, 0.167)
Mg (0.258, 0.821, 0.194)
Mg (0.000, 0.000, 0.000)
Mg (0.732, 0.621, 0.027)
Mg (0.454, 0.613, 0.392)
Mg (0.546, 0.387, 0.608)
Au (0.818, 0.776, 0.638)
Au (0.182, 0.224, 0.362)

Properties
The formation energy is -0.17 eV per atom. As for the crystal system: triclinic.


Entry 5:
Compound: MnPIr2
Source: the Alexandria database
Functional: PBE
Structure: optimized geometry

a b c (Å): 4.731 4.731 4.731
angles (deg): 133.63 133.63 67.66
Last column: magnetic moment on the atom in μB.
Fractional positions:
Mn (0.500, 0.500, 0.000)  2.90
Ir (0.250, 0.750, 0.500)  -0.14
Ir (0.000, 0.000, 0.000)  -0.12
P (0.750, 0.250, 0.500)  -0.02

Properties
The formation energy is 0.08 eV per atom. As for the crystal system: tetragonal.


Entry 6:
Compound: SrMgCo2
Source: the Alexandria database
Functional: PBE
Structure: optimized geometry

a b c (Å): 8.664 8.664 8.664
angles (deg): 21.54 21.54 21.54
Last column: magnetic moment on the atom in μB.
Fractional positions:
Sr (0.750, 0.750, 0.750)  -0.13
Co (0.991, 0.991, 0.991)  1.33
Co (0.509, 0.509, 0.509)  1.33
Mg (0.250, 0.250, 0.250)  -0.02

Properties
The energy above the most stable polymorph in this dataset is 0.663 eV per atom. The formation energy is 0.80 eV per atom. As for the crystal system: trigonal.


Entry 7:
Compound: TlZn2Cl
Source: the Alexandria database
Functional: PBE
Structure: optimized geometry

a b c (Å): 5.235 5.235 5.235
angles (deg): 60.00 60.00 60.00
Fractional positions:
Zn (0.250, 0.250, 0.250)
Zn (0.000, 0.000, 0.000)
Cl (0.500, 0.500, 0.500)
Tl (0.750, 0.750, 0.750)

Properties
The raw formation energy is -64 meV/atom. The energy above the most stable polymorph in this dataset is 0.170 eV per atom. As for the crystal system: cubic.


Entry 8:
Compound: AsRh2W
Source: the Alexandria database
Functional: PBE
Structure: optimized geometry

a b c (Å): 4.386 4.386 4.386
angles (deg): 60.00 60.00 60.00
Fractional positions:
As (0.500, 0.500, 0.500)
Rh (0.000, 0.000, 0.000)
Rh (0.250, 0.250, 0.250)
W (0.750, 0.750, 0.750)

Properties
The formation energy is 0.05 eV per atom. As for the crystal system: cubic.